Record 1
This record from the Alexandria database describes CuAs2W after structural relaxation. The functional is PBE.

Lattice parameters (Å, degrees): 5.824 5.824 3.570 90.01 90.01 33.38
Fractional positions:
As1 0.985 0.985 0.125
As2 0.714 0.714 0.625
Cu1 0.494 0.494 0.625
W1 0.307 0.307 0.125

Summary:
Its crystal system is orthorhombic. Its magnetic moment is 0.0 μB per cell. For the theoretical density, the calculation gives 9.90 g/cm³. Its energy relative to the elements is 0.13 eV per atom. The value obtained for the calculated total energy is -6.45 eV per atom.

---

Record 2
This record from the Alexandria database describes UHSeBr after structural relaxation. The functional is PBE.

Lattice parameters (Å, degrees): 3.862 3.862 7.581 90.09 104.66 120.00
Fractional positions:
U1 0.831 0.280 0.112
H1 0.508 0.619 0.127
Se1 0.005 0.866 0.872
Br1 0.347 0.039 0.386

Summary:
Its crystal system is monoclinic. Its magnetic moment is 2.0 μB per cell. For the theoretical density, the calculation gives 7.06 g/cm³. The value obtained for the calculated total energy is -5.94 eV per atom.